Run w
Pm2ReAs | PBE | optimized geometry

Its spin magnetization is 0.0 μB/f.u. For the calculated volume, the calculation gives 93 Å³ per cell.

```
Pm2ReAs
1.0
-3.533 -2.455 -2.698
1.114 -1.770 -4.627
0.417 -5.001 -0.773
Re As Pm
1 1 2
Direct
0.000 0.000 0.000
0.500 0.500 0.500
0.250 0.250 0.250
0.750 0.750 0.750
```

Run x
Pm2ReAs | PBE | optimized geometry

Its spin magnetization is 0.0 μB/f.u. For the calculated volume, the calculation gives 92 Å³ per cell.

```
Pm2ReAs
1.0
-1.030 -3.579 -0.514
4.207 -1.511 2.092
-2.198 -0.002 4.419
Re As Pm
1 1 2
Direct
0.500 0.000 0.000
0.500 0.500 0.500
0.000 0.000 0.500
0.000 0.500 0.000
```

Which one is most stable, and which one is least stable? run x is the most stable of them, while run w is the least stable.

Run w
PmAs2Rh | PBE | optimized geometry

Its spin magnetization is 0.0 μB/f.u. For the calculated volume, the calculation gives 80 Å³ per cell.

```
PmAs2Rh
1.0
-2.362 0.041 -3.318
-1.225 -3.506 -1.671
-5.753 -1.109 1.581
As Rh Pm
2 1 1
Direct
0.271 0.271 0.187
0.729 0.729 0.813
0.000 0.000 0.000
0.500 0.500 0.500
```

Run x
PmAs2Rh | PBE | optimized geometry

Its spin magnetization is 0.0 μB/f.u. For the calculated volume, the calculation gives 163 Å³ per cell.

```
PmAs2Rh
1.0
-3.298 0.261 -2.346
-1.671 -3.109 1.998
-1.592 7.749 6.608
Pm As Rh
2 4 2
Direct
0.115 0.115 0.230
0.885 0.885 0.770
0.324 0.324 0.649
0.676 0.676 0.351
0.999 0.500 0.000
0.500 0.999 0.000
0.250 0.750 0.500
0.750 0.250 0.500
```

Which one is most stable, and which one is least stable? run x is the most stable of them, while run w is the least stable.

Run w
PmAs2Rh | PBE | optimized geometry

Its spin magnetization is 0.0 μB/f.u. For the calculated volume, the calculation gives 86 Å³ per cell.

```
PmAs2Rh
1.0
-3.345 0.382 -2.350
-0.385 -4.087 -0.105
-1.054 2.019 5.411
Pm As Rh
1 2 1
Direct
0.221 0.881 0.228
0.847 0.508 0.480
0.595 0.255 0.976
0.472 0.631 0.728
```

Run x
PmAs2Rh | PBE | optimized geometry

Its spin magnetization is 0.0 μB/f.u. For the calculated volume, the calculation gives 78 Å³ per cell.

```
PmAs2Rh
1.0
3.879 0.000 0.000
0.000 4.487 0.000
0.000 0.000 4.487
As Rh Pm
2 1 1
Direct
0.000 0.000 0.500
0.000 0.500 0.000
0.500 0.000 0.000
0.500 0.500 0.500
```

Which one is most stable, and which one is least stable? run w is the most stable of them, while run x is the least stable.

Run w
PmAsRh3 | PBE | optimized geometry

Its spin magnetization is 0.0 μB/f.u. For the calculated volume, the calculation gives 180 Å³ per cell.

```
PmAsRh3
1.0
-2.150 -2.826 4.159
0.505 -7.222 -4.646
4.332 4.382 1.622
Pm As Rh
2 2 6
Direct
0.250 0.255 0.500
0.750 0.745 0.500
0.000 0.500 0.000
0.500 0.000 0.000
0.796 0.296 0.093
0.296 0.296 0.093
0.704 0.704 0.907
0.204 0.704 0.907
0.250 0.926 0.500
0.750 0.074 0.500
```

Run x
PmAsRh3 | PBE | optimized geometry

Its spin magnetization is 0.0 μB/f.u. For the calculated volume, the calculation gives 90 Å³ per cell.

```
PmAsRh3
1.0
0.153 -3.791 1.505
3.035 -0.900 -2.576
5.218 -0.732 3.170
Pm As Rh
1 1 3
Direct
0.390 0.194 0.925
0.023 0.826 0.660
0.644 0.947 0.417
0.144 0.447 0.417
0.807 0.610 0.092
```

Which one is most stable, and which one is least stable? run x is the most stable of them, while run w is the least stable.

Run w
Pm3As4Rh4 | PBE | optimized geometry

Its spin magnetization is 0.0 μB/f.u. For the calculated volume, the calculation gives 216 Å³ per cell.

```
Pm3As4Rh4
1.0
4.191 0.000 -0.675
-0.109 3.977 -0.679
-0.063 0.162 12.957
Pm As Rh
3 4 4
Direct
0.353 0.853 0.707
0.647 0.147 0.293
0.000 0.000 0.000
0.808 0.308 0.616
0.449 0.449 0.897
0.551 0.551 0.103
0.192 0.692 0.384
0.249 0.249 0.498
0.096 0.596 0.192
0.904 0.404 0.808
0.751 0.751 0.502
```

Run x
Pm3As4Rh4 | PBE | optimized geometry

Its spin magnetization is 0.0 μB/f.u. For the calculated volume, the calculation gives 208 Å³ per cell.

```
Pm3As4Rh4
1.0
4.165 0.000 0.000
0.000 7.199 0.000
-2.083 -3.599 6.951
Pm As Rh
3 4 4
Direct
0.125 0.125 0.250
0.875 0.875 0.750
0.000 0.500 0.000
0.217 0.717 0.433
0.783 0.283 0.567
0.500 0.792 0.000
0.500 0.208 0.000
0.322 0.120 0.643
0.678 0.476 0.357
0.678 0.880 0.357
0.322 0.524 0.643
```

Which one is most stable, and which one is least stable? run w is the most stable of them, while run x is the least stable.

Run w
Pm2AsS | PBE | optimized geometry

Its spin magnetization is 0.0 μB/f.u. For the calculated volume, the calculation gives 103 Å³ per cell.

```
Pm2AsS
1.0
-3.531 -0.409 1.976
-2.681 -2.817 -1.189
0.957 -5.826 4.690
Pm As S
2 1 1
Direct
0.080 0.080 0.760
0.254 0.254 0.239
0.668 0.668 0.997
0.499 0.499 0.504
```

Run x
Pm2AsS | PBE | optimized geometry

Its spin magnetization is 0.0 μB/f.u. For the calculated volume, the calculation gives 101 Å³ per cell.

```
Pm2AsS
1.0
-1.338 2.624 -2.927
1.338 -0.395 -3.911
-5.148 -3.382 -3.624
As S Pm
1 1 2
Direct
0.500 0.500 0.500
0.000 0.000 0.000
0.749 0.749 0.752
0.251 0.251 0.248
```

Run y
Pm2AsS | PBE | optimized geometry

Its spin magnetization is 0.0 μB/f.u. For the calculated volume, the calculation gives 92 Å³ per cell.

```
Pm2AsS
1.0
3.551 0.000 0.000
0.000 5.090 0.000
0.000 0.000 5.090
As S Pm
1 1 2
Direct
0.500 0.500 0.500
0.500 0.000 0.000
0.000 0.000 0.500
0.000 0.500 0.000
```

Run z
Pm2AsS | PBE | optimized geometry

Its spin magnetization is 0.4 μB/f.u. For the calculated volume, the calculation gives 92 Å³ per cell.

```
Pm2AsS
1.0
5.074 0.000 0.000
2.537 4.394 0.000
2.537 1.465 4.143
As S Pm
1 1 2
Direct
0.000 0.000 0.000
0.500 0.500 0.500
0.250 0.250 0.250
0.750 0.750 0.750
```

Which one is most stable, and which one is least stable? run x is the most stable of them, while run y is the least stable.

Run w
Pm3AsS2 | PBE | optimized geometry

Its spin magnetization is 0.0 μB/f.u. For the calculated volume, the calculation gives 147 Å³ per cell.

```
Pm3AsS2
1.0
3.973 -0.123 -1.032
-0.467 5.255 -2.424
-0.280 0.049 7.112
Pm As S
3 1 2
Direct
0.500 0.500 0.000
0.168 0.168 0.337
0.832 0.832 0.663
0.500 0.000 0.000
0.165 0.666 0.332
0.835 0.334 0.668
```

Run x
Pm3AsS2 | PBE | optimized geometry

Its spin magnetization is 0.0 μB/f.u. For the calculated volume, the calculation gives 315 Å³ per cell.

```
Pm3AsS2
1.0
6.729 0.000 0.000
0.000 6.741 2.255
0.000 0.471 7.092
Pm As S
6 2 4
Direct
0.750 0.910 0.090
0.750 0.141 0.523
0.250 0.523 0.141
0.750 0.477 0.859
0.250 0.859 0.477
0.250 0.090 0.910
0.250 0.428 0.572
0.750 0.572 0.428
0.000 0.183 0.183
0.500 0.183 0.183
0.000 0.817 0.817
0.500 0.817 0.817
```

Which one is most stable, and which one is least stable? run w is the most stable of them, while run x is the least stable.

Run w
Pm4As2S | PBE | optimized geometry

Its spin magnetization is 0.0 μB/f.u. For the calculated volume, the calculation gives 205 Å³ per cell.

```
Pm4As2S
1.0
-3.826 1.894 -2.912
-3.147 -3.724 1.713
1.303 5.431 6.407
As S Pm
2 1 4
Direct
0.631 0.631 0.261
0.369 0.369 0.739
0.000 0.000 0.000
0.821 0.821 0.642
0.179 0.179 0.358
0.000 0.500 0.000
0.500 0.000 0.000
```

Run x
Pm4As2S | PBE | optimized geometry

Its spin magnetization is 0.0 μB/f.u. For the calculated volume, the calculation gives 347 Å³ per cell.

```
Pm4As2S
1.0
1.111 -6.519 -3.886
4.474 0.142 6.229
-7.381 0.355 2.056
Pm As S
8 4 2
Direct
0.761 0.260 0.883
0.989 0.622 0.749
0.623 0.740 0.501
0.127 0.378 0.367
0.499 0.122 0.239
0.633 0.760 0.011
0.251 0.240 0.873
0.117 0.878 0.377
0.375 0.869 0.744
0.494 0.369 0.625
0.875 0.131 0.506
0.256 0.631 0.125
0.750 0.500 0.250
0.000 0.000 0.000
```

Which one is most stable, and which one is least stable? run x is the most stable of them, while run w is the least stable.